First-principles (PBE+U) data for an optimized crystal structure of Li2V2CoO6, as listed in Alexandria.

Properties
Energy (eV/atom): -6.6868

Cell: 5.182 5.182 10.350 Å, 90.00 90.00 59.37°
Element x y z (fractional)
1 Li 0.166 0.334 0.250
2 Li 0.334 0.166 0.750
3 Li 0.666 0.834 0.250
4 Li 0.834 0.666 0.750
5 V 0.164 0.164 0.000
6 V 0.336 0.336 0.500
7 V 0.664 0.664 0.500
8 V 0.836 0.836 0.000
9 Co 0.000 0.000 0.500
10 Co 0.500 0.500 0.000
11 O 0.011 0.360 0.607
12 O 0.140 0.489 0.893
13 O 0.154 0.846 0.095
14 O 0.346 0.654 0.595
15 O 0.360 0.011 0.393
16 O 0.489 0.140 0.107
17 O 0.511 0.860 0.893
18 O 0.640 0.989 0.607
19 O 0.654 0.346 0.405
20 O 0.846 0.154 0.905
21 O 0.860 0.511 0.107
22 O 0.989 0.640 0.393